The following is a PBE+U calculation of a relaxed structure of FeNi3O, from the Alexandria database.

Calculated values
Spin magnetization: 7.02 μB per formula unit
Calculated volume: 17.69 A^3/atom
Total DFT energy (no corrections): -1.58 eV per atom
Space-group type: Pm-3m, No. 221
Excess energy over the best structure of this formula in the dataset: 152.8 kJ per mole of atoms
DOS at the Fermi energy: 7.1 states/eV per cell

Cell lengths 4.456, 4.456, 4.456 Å; angles 90.00, 90.00, 90.00 degrees
Fractional positions:
Fe 0.000 0.000 0.000
Ni 0.000 0.000 0.500
Ni 0.000 0.500 0.000
Ni 0.500 0.000 0.000
O 0.500 0.500 0.500